# 1
A plane-wave DFT calculation with PBE was carried out for a geometry-optimized SrSb2C2 structure.

Cell lengths 5.318, 5.318, 5.318 Å; angles 111.06, 111.06, 106.35 degrees
Atoms (fractional coordinates):
Sr  0.000  0.000  0.000
Sb  0.250  0.750  0.500
Sb  0.750  0.250  0.500
C  0.398  0.398  0.000
C  0.602  0.602  0.000

## Properties
Energy relative to the elements, uncorrected   0.78 eV/atom
Space-group type   No. 139
Polymorph energy (0 for the lowest one)   417 meV/atom
Final energy   -4.893 eV/atom
Magnetization   0.00 μB/atom



# 2
A plane-wave DFT calculation with PBE was carried out for a geometry-optimized LaErAu structure.

Cell lengths 5.089, 5.089, 5.089 Å; angles 60.00, 60.00, 60.00 degrees
Atoms (fractional coordinates):
La  0.000  0.000  0.000
Er  0.500  0.500  0.500
Au  0.250  0.250  0.250

## Properties
Space-group type   No. 216
Polymorph energy (0 for the lowest one)   194 meV/atom
Final energy   -4.662 eV/atom
E_form   -406 meV per atom
Magnetization   0.00 μB/atom



# 3
A plane-wave DFT calculation with PBE was carried out for a geometry-optimized Dy2VSi4Pt3 structure.

Cell lengths 4.119, 4.119, 10.217 Å; angles 90.00, 90.00, 90.00 degrees
Atoms (fractional coordinates):
Dy  0.000  0.500  0.248
Dy  0.500  0.000  0.752
V  0.000  0.000  0.500
Si  0.000  0.000  0.000
Si  0.000  0.500  0.636
Si  0.500  0.000  0.364
Si  0.500  0.500  0.000
Pt  0.000  0.500  0.874
Pt  0.500  0.000  0.126
Pt  0.500  0.500  0.500

## Properties
Energy relative to the elements, uncorrected   -0.97 eV/atom
Space-group type   No. 115
Final energy   -6.787 eV/atom
Magnetization   0.12 μB/atom